Density functional theory data (PBE-GGA) for an optimized crystal structure of K2Rh.

CIF file:
```
data_K2Rh
_space_group_name_H-M_alt 'I m m m'
_space_group_IT_number 71
_space_group_name_Hall '-I 2 2'
_cell_length_a 3.063
_cell_length_b 5.263
_cell_length_c 10.311
_cell_angle_alpha 90.00
_cell_angle_beta 90.00
_cell_angle_gamma 90.00
loop_
_atom_site_label
_atom_site_fract_x
_atom_site_fract_y
_atom_site_fract_z
K1 0.000 0.000 0.157
Rh1 0.000 0.000 0.500
```

ΔE_f (meV/atom): 660
Energy relative to the lowest polymorph listed for this composition (eV/atom): 0.3065
Theoretical density (g cm⁻³): 3.6